(1)
The following is a PBE calculation of a geometry-optimized ScBH3 structure, from the Alexandria database.

a b c (Å): 3.179 3.179 3.179
angles (deg): 90.00 90.00 90.00
Positions (direct):
H: 0.500 0.000 0.000
H: 0.000 0.500 0.000
H: 0.000 0.000 0.500
B: 0.000 0.000 0.000
Sc: 0.500 0.500 0.500

SG   Pm-3m
Relative energy among the computed polymorphs   0.000 eV per atom
DFT total energy   -22.2 eV/cell
Total moment   0.00 μB/cell

=====

(2)
The following is a PBE calculation of a geometry-optimized AgSn2Se3 structure, from the Alexandria database.

a b c (Å): 4.188 4.188 9.147
angles (deg): 103.23 103.23 90.00
Positions (direct):
Ag: 0.434 0.436 0.874
Se: 0.600 0.601 0.205
Sn: 0.097 0.099 0.200
Se: 0.269 0.270 0.543
Sn: 0.771 0.773 0.548
Se: 0.934 0.936 0.874

SG   I4/mmm
Relative energy among the computed polymorphs   0.028 eV per atom
DFT total energy   -23.1 eV/cell
Total moment   0.00 μB/cell

=====

(3)
The following is a PBE calculation of a geometry-optimized Tm7Zn2Rh2 structure, from the Alexandria database.

a b c (Å): 6.542 6.971 6.542
angles (deg): 90.00 108.44 90.00
Positions (direct):
Tm: 0.000 0.738 0.500
Tm: 0.500 0.262 0.000
Zn: 0.830 0.500 0.830
Rh: 0.291 0.000 0.709
Tm: 0.500 0.255 0.500
Rh: 0.709 0.000 0.291
Tm: 0.500 0.738 0.000
Tm: 0.000 0.262 0.500
Zn: 0.170 0.500 0.170
Tm: 0.500 0.745 0.500
Tm: 0.000 0.000 0.000

SG   Cmmm
Formation enthalpy at 0 K   -350 meV/atom
DFT total energy   -52.4 eV/cell
Total moment   0.00 μB/cell

=====

(4)
The following is a PBE calculation of a geometry-optimized BaRe2As structure, from the Alexandria database.

a b c (Å): 6.097 6.097 6.097
angles (deg): 141.60 141.60 55.44
Positions (direct):
Ba: 0.750 0.250 0.500
Re: 0.500 0.500 0.000
Re: 0.000 0.000 0.000
As: 0.250 0.750 0.500

SG   I4/mmm
Formation enthalpy at 0 K   1442 meV/atom
DFT total energy   -25.7 eV/cell
Total moment   0.00 μB/cell

=====

(5)
The following is a PBE calculation of a geometry-optimized Ru2Pb structure, from the Alexandria database.

a b c (Å): 3.002 3.002 6.781
angles (deg): 90.00 90.00 120.00
Positions (direct):
Pb: 0.000 0.000 0.000
Ru: 0.333 0.667 0.358
Ru: 0.667 0.333 0.642

SG   P-3m1
Relative energy among the computed polymorphs   0.217 eV per atom
Formation enthalpy at 0 K   627 meV/atom
DFT total energy   -20.4 eV/cell
Total moment   0.00 μB/cell

=====

(6)
The following is a PBE calculation of a geometry-optimized CrRh5 structure, from the Alexandria database.

a b c (Å): 7.134 7.134 4.325
angles (deg): 90.00 90.00 157.95
Positions (direct):
Rh: 0.553 0.447 0.500
Cr: 0.999 0.001 0.000
Rh: 0.662 0.338 0.000
Rh: 0.890 0.110 0.500
Rh: 0.340 0.660 0.000
Rh: 0.222 0.778 0.500

SG   Amm2
Formation enthalpy at 0 K   -53 meV/atom
DFT total energy   -46.7 eV/cell
Total moment   0.00 μB/cell

=====

(7)
The following is a PBE calculation of a geometry-optimized CaCo2NiCl structure, from the Alexandria database.

a b c (Å): 4.309 5.798 4.309
angles (deg): 90.00 90.00 90.00
Site moments in Bohr magnetons follow the coordinates.
Positions (direct):
Cl: 0.500 0.500 0.500  0.00
Co: 0.000 0.000 0.500  2.36
Ni: 0.000 0.000 0.000  0.77
Co: 0.500 0.000 0.000  1.62
Ca: 0.000 0.500 0.000  -0.04

SG   P4/mmm
DFT total energy   -22.4 eV/cell
Total moment   4.48 μB/cell

=====

(8)
The following is a PBE calculation of a geometry-optimized CsTc2Mo structure, from the Alexandria database.

a b c (Å): 5.209 5.209 9.102
angles (deg): 73.37 73.37 90.00
Positions (direct):
Mo: 0.500 0.500 0.000
Tc: 0.875 0.625 0.750
Tc: 0.375 0.625 0.250
Tc: 0.375 0.625 0.750
Cs: 0.000 0.000 0.000
Cs: 0.750 0.250 0.500
Tc: 0.375 0.125 0.250
Mo: 0.250 0.750 0.500

SG   I4_1/amd
Relative energy among the computed polymorphs   0.000 eV per atom
Formation enthalpy at 0 K   1773 meV/atom
DFT total energy   -50.6 eV/cell
Total moment   0.11 μB/cell

=====

(9)
The following is a PBE calculation of a geometry-optimized NaTlIn2Ag structure, from the Alexandria database.

a b c (Å): 5.307 5.307 5.493
angles (deg): 90.00 90.00 90.00
Positions (direct):
Na: 0.000 0.000 0.500
In: 0.000 0.500 0.000
Ag: 0.000 0.000 0.000
Tl: 0.500 0.500 0.500
In: 0.500 0.000 0.000

SG   P4/mmm
Relative energy among the computed polymorphs   0.117 eV per atom
Formation enthalpy at 0 K   103 meV/atom
DFT total energy   -11.5 eV/cell
Total moment   0.00 μB/cell

=====

(10)
The following is a PBE calculation of a geometry-optimized SrSn2Ru structure, from the Alexandria database.

a b c (Å): 5.021 5.021 5.021
angles (deg): 60.00 60.00 60.00
Positions (direct):
Sn: 0.250 0.250 0.250
Sn: 0.750 0.750 0.750
Ru: 0.500 0.500 0.500
Sr: 0.000 0.000 0.000

SG   Fm-3m
Formation enthalpy at 0 K   -27 meV/atom
DFT total energy   -19.1 eV/cell
Total moment   0.00 μB/cell

=====

(11)
The following is a PBE calculation of a geometry-optimized Dy2TlRh structure, from the Alexandria database.

a b c (Å): 3.534 3.534 7.613
angles (deg): 90.00 90.00 90.00
Positions (direct):
Dy: 0.000 0.000 0.215
Dy: 0.000 0.000 0.785
Rh: 0.500 0.500 0.000
Tl: 0.500 0.500 0.500

SG   P4/mmm
Relative energy among the computed polymorphs   0.000 eV per atom
Formation enthalpy at 0 K   -618 meV/atom
DFT total energy   -21.4 eV/cell
Total moment   0.00 μB/cell

=====

(12)
The following is a PBE calculation of a geometry-optimized NdSc7 structure, from the Alexandria database.

a b c (Å): 6.611 6.611 6.611
angles (deg): 60.00 60.00 60.00
Positions (direct):
Sc: 0.500 0.000 0.500
Sc: 0.000 0.500 0.000
Nd: 0.000 0.000 0.000
Sc: 0.000 0.500 0.500
Sc: 0.500 0.500 0.000
Sc: 0.000 0.000 0.500
Sc: 0.500 0.000 0.000
Sc: 0.500 0.500 0.500

SG   Fm-3m
Relative energy among the computed polymorphs   0.031 eV per atom
Formation enthalpy at 0 K   60 meV/atom
DFT total energy   -48.6 eV/cell
Total moment   0.00 μB/cell